[1]
## Y3Tl3GaS8 (PBE)

Data for a geometry-optimized Y3Tl3GaS8 structure.

Crystal system: monoclinic
E_tot: -0.394 Ry/atom
Magnetization: 0.0 μB/f.u.

Unit cell a=7.917 b=7.917 c=8.660 alpha=117.14 beta=90.06 gamma=120.00
Sites, in units of the cell vectors:
Tl: 0.000 0.000 0.000
Tl: 0.000 0.500 0.000
Tl: 0.500 0.500 0.000
S: 0.754 0.973 0.691
S: 0.265 0.531 0.296
S: 0.782 0.563 0.309
S: 0.246 0.027 0.309
S: 0.218 0.437 0.691
S: 0.782 0.027 0.309
S: 0.735 0.469 0.704
S: 0.218 0.973 0.691
Y: 0.500 0.000 0.500
Y: 0.000 0.500 0.500
Y: 0.500 0.500 0.500
Ga: 0.000 0.000 0.500



[2]
## ZrTl2GaS5 (PBE)

Data for a geometry-optimized ZrTl2GaS5 structure.

Crystal system: orthorhombic
E_tot: -0.360 Ry/atom
Magnetization: 0.0 μB/f.u.

Unit cell a=3.748 b=9.237 c=13.102 alpha=90.00 beta=90.00 gamma=101.70
Sites, in units of the cell vectors:
S: 0.508 0.015 0.284
S: 0.682 0.364 0.891
S: 0.294 0.589 0.662
S: 0.492 0.985 0.784
S: 0.952 0.904 0.536
S: 0.706 0.411 0.162
S: 0.337 0.675 0.992
S: 0.663 0.325 0.492
S: 0.048 0.096 0.036
S: 0.318 0.636 0.391
Zr: 0.796 0.592 0.530
Zr: 0.204 0.408 0.030
Ga: 0.444 0.888 0.431
Ga: 0.556 0.112 0.931
Tl: 0.884 0.769 0.170
Tl: 0.877 0.755 0.828
Tl: 0.123 0.245 0.328
Tl: 0.116 0.231 0.670



[3]
## Tm5GaS4 (PBE)

Data for a geometry-optimized Tm5GaS4 structure.

Crystal system: tetragonal
E_tot: -0.432 Ry/atom
Magnetization: 0.0 μB/f.u.

Unit cell a=5.511 b=6.773 c=6.773 alpha=80.47 beta=65.99 gamma=65.99
Sites, in units of the cell vectors:
Tm: 0.101 0.600 0.200
Tm: 0.301 0.800 0.600
Tm: 0.901 0.400 0.800
Tm: 0.701 0.200 0.400
Tm: 0.501 0.000 0.000
S: 0.600 0.598 0.203
S: 0.402 0.402 0.797
S: 0.199 0.203 0.402
S: 0.803 0.797 0.598
Ga: 0.001 0.000 0.000



[4]
## Tm4GaS3 (PBE)

Data for a geometry-optimized Tm4GaS3 structure.

Crystal system: tetragonal
E_tot: -0.426 Ry/atom
Magnetization: 0.0 μB/f.u.

Unit cell a=5.544 b=5.544 c=6.788 alpha=114.10 beta=114.10 gamma=90.00
Sites, in units of the cell vectors:
Tm: 0.252 0.252 0.503
Tm: 0.500 0.000 0.000
Tm: 0.000 0.500 0.000
Tm: 0.748 0.748 0.497
Ga: 0.000 0.000 0.000
S: 0.250 0.750 0.500
S: 0.750 0.250 0.500
S: 0.500 0.500 0.000